# 1
VASP calculation (PBE-GGA) on an optimized crystal structure of RePt2Pb.

energy: -6.692 eV/atom
magnetization: 0.0 μB per cell
calculated formation energy: 0.368 eV/atom

```
data_RePt2Pb
_chemical_formula_sum 'Re1 Pt2 Pb1'
_space_group_name_H-M_alt 'P 4 m m'
_space_group_IT_number 99
_cell_length_a 3.014
_cell_length_b 3.014
_cell_length_c 7.946
_cell_angle_alpha 90.00
_cell_angle_beta 90.00
_cell_angle_gamma 90.00
loop_
_space_group_symop_operation_xyz
'x,y,z'
'-y,x,z'
'-x,-y,z'
'y,-x,z'
'-x,y,z'
'y,x,z'
'x,-y,z'
'-y,-x,z'
loop_
_atom_site_label
_atom_site_type_symbol
_atom_site_fract_x
_atom_site_fract_y
_atom_site_fract_z
Re1 Re 0.000 0.000 0.000
Pt1 Pt 0.000 0.000 0.567
Pt2 Pt 0.500 0.500 0.804
Pb1 Pb 0.500 0.500 0.287
```

# 2
VASP calculation (PBE-GGA) on an optimized crystal structure of YTl2Te3.

energy: -4.172 eV/atom
magnetization: 0.0 μB per cell
formation energy (no corrections): -0.735 eV/atom

```
data_YTl2Te3
_chemical_formula_sum 'Y4 Tl8 Te12'
_space_group_name_H-M_alt 'C 1 2/m 1'
_space_group_IT_number 12
_cell_length_a 7.831
_cell_length_b 13.670
_cell_length_c 8.244
_cell_angle_alpha 90.00
_cell_angle_beta 107.64
_cell_angle_gamma 90.00
loop_
_space_group_symop_operation_xyz
'x,y,z'
'-x,-y,-z'
'-x,y,-z'
'x,-y,z'
'x+1/2,y+1/2,z'
'-x+1/2,-y+1/2,-z'
'-x+1/2,y+1/2,-z'
'x+1/2,-y+1/2,z'
loop_
_atom_site_label
_atom_site_type_symbol
_atom_site_fract_x
_atom_site_fract_y
_atom_site_fract_z
Y1 Y 0.000 0.170 0.000
Tl1 Tl 0.000 0.000 0.500
Tl2 Tl 0.000 0.335 0.500
Tl3 Tl 0.000 0.500 0.000
Te1 Te 0.225 0.000 0.218
Te2 Te 0.248 0.326 0.224
```

# 3
VASP calculation (PBE-GGA) on an optimized crystal structure of LaNdZn.

energy: -3.643 eV/atom
magnetization: 0.0 μB per cell
distance to the lowest polymorph of the same formula: 0.210 eV/atom
calculated formation energy: 0.013 eV/atom

```
data_LaNdZn
_chemical_formula_sum 'La4 Nd4 Zn4'
_space_group_name_H-M_alt 'P n m a'
_space_group_IT_number 62
_cell_length_a 10.283
_cell_length_b 5.164
_cell_length_c 7.186
_cell_angle_alpha 90.00
_cell_angle_beta 90.00
_cell_angle_gamma 90.00
loop_
_space_group_symop_operation_xyz
'x,y,z'
'-x,-y,-z'
'-x+1/2,-y,z+1/2'
'x+1/2,y,-z+1/2'
'x+1/2,-y+1/2,-z+1/2'
'-x+1/2,y+1/2,z+1/2'
'-x,y+1/2,-z'
'x,-y+1/2,z'
loop_
_atom_site_label
_atom_site_type_symbol
_atom_site_fract_x
_atom_site_fract_y
_atom_site_fract_z
La1 La 0.102 0.250 0.017
Nd1 Nd 0.132 0.250 0.514
Zn1 Zn 0.130 0.750 0.269
```

# 4
VASP calculation (PBE-GGA) on an optimized crystal structure of CdFe2Se.

energy: -5.013 eV/atom
magnetization: 10.1 μB per cell
formation energy (no corrections): 0.318 eV/atom

```
data_CdFe2Se
_chemical_formula_sum 'Cd2 Fe4 Se2'
_space_group_name_H-M_alt 'C 1 2/m 1'
_space_group_IT_number 12
_cell_length_a 8.204
_cell_length_b 3.060
_cell_length_c 6.642
_cell_angle_alpha 90.00
_cell_angle_beta 115.63
_cell_angle_gamma 90.00
loop_
_space_group_symop_operation_xyz
'x,y,z'
'-x,-y,-z'
'-x,y,-z'
'x,-y,z'
'x+1/2,y+1/2,z'
'-x+1/2,-y+1/2,-z'
'-x+1/2,y+1/2,-z'
'x+1/2,-y+1/2,z'
loop_
_atom_site_label
_atom_site_type_symbol
_atom_site_fract_x
_atom_site_fract_y
_atom_site_fract_z
Cd1 Cd 0.000 0.000 0.000
Fe1 Fe 0.239 0.500 0.354
Se1 Se 0.000 0.500 0.500
```

# 5
VASP calculation (PBE-GGA) on an optimized crystal structure of Tb6Tm8Pu.

energy: -4.918 eV/atom
magnetization: 6.4 μB per cell
calculated formation energy: 0.274 eV/atom

```
data_Tb6Tm8Pu
_chemical_formula_sum 'Tb6 Tm8 Pu1'
_space_group_name_H-M_alt 'P -3'
_space_group_IT_number 147
_cell_length_a 9.2534
_cell_length_b 9.2534
_cell_length_c 6.5546
_cell_angle_alpha 90.00
_cell_angle_beta 90.00
_cell_angle_gamma 120.00
loop_
_space_group_symop_operation_xyz
'x,y,z'
'-x,-y,-z'
'-y,x-y,z'
'y,-x+y,-z'
'-x+y,-x,z'
'x-y,x,-z'
loop_
_atom_site_label
_atom_site_type_symbol
_atom_site_fract_x
_atom_site_fract_y
_atom_site_fract_z
Tb1 Tb 0.0843 0.6800 0.0948
Tm1 Tm 0.0248 0.3368 0.3994
Tm2 Tm 0.3333 0.6667 0.6792
Pu1 Pu 0.0000 0.0000 0.0000
```

# 6
VASP calculation (PBE-GGA) on an optimized crystal structure of LiAl4Zn3.

energy: -2.626 eV/atom
magnetization: 0.0 μB per cell
calculated formation energy: -0.037 eV/atom

```
data_LiAl4Zn3
_chemical_formula_sum 'Li2 Al8 Zn6'
_space_group_name_H-M_alt 'C 1 2/m 1'
_space_group_IT_number 12
_cell_length_a 18.291
_cell_length_b 2.832
_cell_length_c 4.891
_cell_angle_alpha 90.00
_cell_angle_beta 94.47
_cell_angle_gamma 90.00
loop_
_space_group_symop_operation_xyz
'x,y,z'
'-x,-y,-z'
'-x,y,-z'
'x,-y,z'
'x+1/2,y+1/2,z'
'-x+1/2,-y+1/2,-z'
'-x+1/2,y+1/2,-z'
'x+1/2,-y+1/2,z'
loop_
_atom_site_label
_atom_site_type_symbol
_atom_site_fract_x
_atom_site_fract_y
_atom_site_fract_z
Li1 Li 0.000 0.000 0.000
Al1 Al 0.121 0.000 0.376
Al2 Al 0.249 0.000 0.751
Zn1 Zn 0.000 0.500 0.500
Zn2 Zn 0.125 0.500 0.881
```